Entry from Alexandria: crystalline Ba3Mn2TcO8 at its relaxed geometry (PBE with a Hubbard U).

Space-group type = P-3m1
Crystal system = trigonal
Uncorrected energy = -7.03 eV per atom

Lattice parameters (Å, degrees): 5.8333 5.8333 7.6802 90.00 90.00 120.00
Fractional positions:
Ba (0.0000, 0.0000, 0.0000)
Ba (0.3333, 0.6667, 0.6491)
Ba (0.6667, 0.3333, 0.3509)
Mn (0.3333, 0.6667, 0.2102)
Mn (0.6667, 0.3333, 0.7898)
Tc (0.0000, 0.0000, 0.5000)
O (0.1560, 0.3120, 0.3492)
O (0.1560, 0.8440, 0.3492)
O (0.3120, 0.1560, 0.6508)
O (0.3333, 0.6667, 0.9641)
O (0.6667, 0.3333, 0.0359)
O (0.6880, 0.8440, 0.3492)
O (0.8440, 0.1560, 0.6508)
O (0.8440, 0.6880, 0.6508)